(1)
First-principles (PBE) data for an optimized crystal structure of PmPr3Mg2, as listed in the Alexandria database.

POSCAR file:
```
PmPr3Mg2
1.0
3.8337 0.0000 0.0000
0.0000 3.8337 0.0000
0.0000 0.0000 13.0420
Pm Pr Mg
1 3 2
Direct
0.5000 0.5000 0.5000
0.0000 0.0000 0.0000
0.0000 0.0000 0.6939
0.0000 0.0000 0.3061
0.5000 0.5000 0.8476
0.5000 0.5000 0.1524
```

Results
Magnetic moment = 0.00 μB per cell
Calculated volume = 31.95 Å³ per atom
N(E_F) = 6.00 states/eV/cell
Calculated total energy = -22.66 eV per cell

=====

(2)
First-principles (PBE) data for an optimized crystal structure of TbEuDyTm, as listed in the Alexandria database.

POSCAR file:
```
TbEuDyTm
1.0
5.7220 0.0000 0.0000
2.8610 4.9554 0.0000
2.8610 1.6518 4.6720
Eu Tm Tb Dy
1 1 1 1
Direct
0.7500 0.7500 0.7500
0.2500 0.2500 0.2500
0.5000 0.5000 0.5000
0.0000 0.0000 0.0000
```

Results
Magnetic moment = 8.22 μB per cell
Calculated volume = 33.12 Å³ per atom
N(E_F) = 7.14 states/eV/cell
Calculated total energy = -23.32 eV per cell

=====

(3)
First-principles (PBE) data for an optimized crystal structure of Ho6Er2In3, as listed in the Alexandria database.

POSCAR file:
```
Ho6Er2In3
1.0
4.5069 0.0000 0.0000
0.0000 4.5069 0.0000
-2.2535 -2.2535 16.5999
Ho Er In
6 2 3
Direct
0.1270 0.6270 0.2541
0.6270 0.1270 0.2541
0.8730 0.3730 0.7459
0.3730 0.8730 0.7459
0.7127 0.7127 0.4254
0.2873 0.2873 0.5746
0.4549 0.4549 0.9097
0.5451 0.5451 0.0903
0.0000 0.0000 0.0000
0.8063 0.8063 0.6126
0.1937 0.1937 0.3874
```

Results
Magnetic moment = 0.00 μB per cell
Calculated volume = 30.65 Å³ per atom
N(E_F) = 13.07 states/eV/cell
Calculated total energy = -44.47 eV per cell

=====

(4)
First-principles (PBE) data for an optimized crystal structure of Sr2HfI, as listed in the Alexandria database.

POSCAR file:
```
Sr2HfI
1.0
-3.3059 -2.1736 4.4700
-5.9566 0.0687 -0.3860
-3.0035 -5.1084 -0.7194
I Sr Hf
1 2 1
Direct
0.0000 0.0000 0.0000
0.2500 0.2500 0.2500
0.7500 0.7500 0.7500
0.5000 0.5000 0.5000
```

Results
Magnetic moment = 4.41 μB per cell
Calculated volume = 37.60 Å³ per atom
N(E_F) = 5.68 states/eV/cell
Calculated total energy = -13.28 eV per cell
Energy relative to the elements, uncorrected = 0.397 eV per atom

=====

> Among the records above, which one has the lowest calculated volume?

Ho6Er2In3